Entry from Alexandria: crystalline CePr3Ge4 at its relaxed geometry (PBE).

a = 8.956 Å, b = 8.956 Å, c = 8.956 Å
α = 152.36°, β = 137.01°, γ = 51.88°
Sites, in units of the cell vectors:
Ce 0.000 0.000 0.000
Pr 0.193 0.693 0.500
Pr 0.500 0.500 0.000
Pr 0.807 0.307 0.500
Ge 0.180 0.870 0.309
Ge 0.439 0.130 0.309
Ge 0.561 0.870 0.691
Ge 0.820 0.130 0.691

Properties
V = 28.3 Å³/atom
uncorrected energy = -43.698 eV/cell
total magnetization = 0.64 μB per formula unit
DOS(E_F) = 1.126 states/eV/atom
formation enthalpy at 0 K = -0.620 eV per atom

=====

Entry from Alexandria: crystalline Ce3Pr3Ge4 at its relaxed geometry (PBE).

a = 4.271 Å, b = 7.892 Å, c = 7.892 Å
α = 88.79°, β = 90.00°, γ = 90.00°
Sites, in units of the cell vectors:
Ce 0.000 0.000 0.000
Ce 0.500 0.323 0.826
Ce 0.500 0.826 0.323
Pr 0.000 0.153 0.496
Pr 0.000 0.496 0.153
Pr 0.000 0.655 0.655
Ge 0.500 0.195 0.195
Ge 0.500 0.452 0.452
Ge 0.500 0.707 0.950
Ge 0.500 0.950 0.707

Properties
V = 26.6 Å³/atom
uncorrected energy = -57.239 eV/cell
total magnetization = 2.22 μB per formula unit
DOS(E_F) = 1.953 states/eV/atom
formation enthalpy at 0 K = -0.663 eV per atom

=====

Entry from Alexandria: crystalline Ce2Pr5Ge4 at its relaxed geometry (PBE).

a = 12.064 Å, b = 12.064 Å, c = 6.830 Å
α = 105.51°, β = 105.51°, γ = 20.58°
Sites, in units of the cell vectors:
Ce 0.234 0.234 0.104
Ce 0.766 0.766 0.896
Pr 0.000 0.000 0.000
Pr 0.349 0.349 0.679
Pr 0.392 0.392 0.231
Pr 0.608 0.608 0.769
Pr 0.651 0.651 0.321
Ge 0.193 0.193 0.641
Ge 0.476 0.476 0.655
Ge 0.524 0.524 0.345
Ge 0.807 0.807 0.359

Properties
V = 30.6 Å³/atom
uncorrected energy = -57.845 eV/cell
total magnetization = 0.90 μB per formula unit
DOS(E_F) = 1.462 states/eV/atom
formation enthalpy at 0 K = -0.328 eV per atom

=====

Entry from Alexandria: crystalline Ce5PrGe2 at its relaxed geometry (PBE).

a = 7.567 Å, b = 7.567 Å, c = 7.567 Å
α = 147.79°, β = 99.22°, γ = 89.63°
Sites, in units of the cell vectors:
Ce 0.000 0.000 0.000
Ce 0.035 0.335 0.700
Ce 0.365 0.665 0.700
Ce 0.635 0.335 0.300
Ce 0.965 0.665 0.300
Pr 0.500 0.000 0.500
Ge 0.286 0.286 0.000
Ge 0.714 0.714 0.000

Properties
V = 27.6 Å³/atom
uncorrected energy = -46.313 eV/cell
total magnetization = 4.31 μB per formula unit
DOS(E_F) = 2.928 states/eV/atom
formation enthalpy at 0 K = -0.329 eV per atom

=====

Entry from Alexandria: crystalline Ce2PrGe2Pt2 at its relaxed geometry (PBE).

a = 9.456 Å, b = 9.456 Å, c = 9.456 Å
α = 27.03°, β = 27.03°, γ = 27.03°
Sites, in units of the cell vectors:
Ce 0.139 0.139 0.139
Ce 0.861 0.861 0.861
Pr 0.000 0.000 0.000
Ge 0.260 0.260 0.260
Ge 0.740 0.740 0.740
Pt 0.412 0.412 0.412
Pt 0.588 0.588 0.588

Properties
V = 22.0 Å³/atom
uncorrected energy = -44.274 eV/cell
total magnetization = 1.10 μB per formula unit
DOS(E_F) = 1.189 states/eV/atom
formation enthalpy at 0 K = -0.901 eV per atom

=====

Entry from Alexandria: crystalline CePr2Ge3Pt4 at its relaxed geometry (PBE).

a = 4.378 Å, b = 4.378 Å, c = 11.115 Å
α = 90.00°, β = 90.00°, γ = 90.00°
Sites, in units of the cell vectors:
Ce 0.000 0.000 0.000
Pr 0.000 0.500 0.721
Pr 0.500 0.000 0.279
Ge 0.000 0.500 0.380
Ge 0.500 0.000 0.620
Ge 0.500 0.500 0.000
Pt 0.000 0.000 0.500
Pt 0.000 0.500 0.157
Pt 0.500 0.000 0.843
Pt 0.500 0.500 0.500

Properties
V = 21.3 Å³/atom
uncorrected energy = -62.735 eV/cell
total magnetization = 0.23 μB per formula unit
DOS(E_F) = 1.124 states/eV/atom
formation enthalpy at 0 K = -0.923 eV per atom

=====

Entry from Alexandria: crystalline Ce2PrGe2Pt7 at its relaxed geometry (PBE).

a = 4.151 Å, b = 4.151 Å, c = 14.190 Å
α = 96.20°, β = 96.20°, γ = 88.79°
Sites, in units of the cell vectors:
Ce 0.117 0.117 0.359
Ce 0.883 0.883 0.641
Pr 0.000 0.000 0.000
Ge 0.404 0.404 0.744
Ge 0.596 0.596 0.256
Pt 0.060 0.559 0.159
Pt 0.375 0.375 0.570
Pt 0.441 0.940 0.841
Pt 0.500 0.500 0.000
Pt 0.559 0.060 0.159
Pt 0.625 0.625 0.430
Pt 0.940 0.441 0.841

Properties
V = 20.1 Å³/atom
uncorrected energy = -78.781 eV/cell
total magnetization = 1.77 μB per formula unit
DOS(E_F) = 1.413 states/eV/atom
formation enthalpy at 0 K = -0.884 eV per atom

=====

Entry from Alexandria: crystalline Ce2PrGe3Pt4 at its relaxed geometry (PBE).

a = 4.340 Å, b = 4.340 Å, c = 11.347 Å
α = 90.00°, β = 90.00°, γ = 90.00°
Sites, in units of the cell vectors:
Ce 0.000 0.500 0.220
Ce 0.500 0.000 0.780
Pr 0.000 0.000 0.500
Ge 0.000 0.500 0.882
Ge 0.500 0.000 0.118
Ge 0.500 0.500 0.500
Pt 0.000 0.000 0.000
Pt 0.000 0.500 0.667
Pt 0.500 0.000 0.333
Pt 0.500 0.500 0.000

Properties
V = 21.4 Å³/atom
uncorrected energy = -63.278 eV/cell
total magnetization = 1.74 μB per formula unit
DOS(E_F) = 1.608 states/eV/atom
formation enthalpy at 0 K = -0.862 eV per atom

=====

Entry from Alexandria: crystalline Ce2Pr2Ge4Pt at its relaxed geometry (PBE).

a = 6.650 Å, b = 6.650 Å, c = 6.650 Å
α = 113.32°, β = 113.32°, γ = 102.02°
Sites, in units of the cell vectors:
Ce 0.164 0.164 0.000
Ce 0.836 0.836 0.000
Pr 0.250 0.750 0.500
Pr 0.750 0.250 0.500
Ge 0.258 0.258 0.516
Ge 0.258 0.742 0.000
Ge 0.742 0.258 0.000
Ge 0.742 0.742 0.484
Pt 0.500 0.500 0.000

Properties
V = 24.8 Å³/atom
uncorrected energy = -50.752 eV/cell
total magnetization = 2.19 μB per formula unit
DOS(E_F) = 0.842 states/eV/atom
formation enthalpy at 0 K = -0.535 eV per atom

=====

Entry from Alexandria: crystalline CePrGeRh2 at its relaxed geometry (PBE).

a = 6.944 Å, b = 6.944 Å, c = 6.944 Å
α = 147.23°, β = 143.47°, γ = 49.89°
Sites, in units of the cell vectors:
Ce 0.000 0.000 0.000
Pr 0.742 0.242 0.500
Ge 0.336 0.836 0.500
Rh 0.136 0.636 0.500
Rh 0.474 0.474 0.000

Properties
V = 21.5 Å³/atom
uncorrected energy = -34.026 eV/cell
total magnetization = 0.00 μB per formula unit
DOS(E_F) = 0.644 states/eV/atom
formation enthalpy at 0 K = -0.798 eV per atom

=====

Entry from Alexandria: crystalline CePrGeRh at its relaxed geometry (PBE).

a = 4.604 Å, b = 4.604 Å, c = 10.210 Å
α = 90.00°, β = 90.00°, γ = 90.00°
Sites, in units of the cell vectors:
Ce 0.250 0.750 0.000
Ce 0.750 0.250 0.000
Pr 0.250 0.250 0.339
Pr 0.750 0.750 0.661
Ge 0.250 0.250 0.622
Ge 0.750 0.750 0.378
Rh 0.250 0.250 0.856
Rh 0.750 0.750 0.144

Properties
V = 27.1 Å³/atom
uncorrected energy = -49.164 eV/cell
total magnetization = 0.43 μB per formula unit
DOS(E_F) = 1.656 states/eV/atom
formation enthalpy at 0 K = -0.475 eV per atom

=====

Entry from Alexandria: crystalline CePrGeRu at its relaxed geometry (PBE).

a = 4.609 Å, b = 4.609 Å, c = 9.988 Å
α = 90.00°, β = 90.00°, γ = 90.00°
Sites, in units of the cell vectors:
Ce 0.250 0.750 0.000
Ce 0.750 0.250 0.000
Pr 0.250 0.250 0.338
Pr 0.750 0.750 0.662
Ge 0.250 0.250 0.629
Ge 0.750 0.750 0.371
Ru 0.250 0.250 0.871
Ru 0.750 0.750 0.129

Properties
V = 26.5 Å³/atom
uncorrected energy = -51.858 eV/cell
total magnetization = 0.00 μB per formula unit
DOS(E_F) = 1.388 states/eV/atom
formation enthalpy at 0 K = -0.331 eV per atom

=====

Entry from Alexandria: crystalline CePrGeS at its relaxed geometry (PBE).

a = 7.224 Å, b = 7.224 Å, c = 7.224 Å
α = 33.80°, β = 33.80°, γ = 33.80°
Sites, in units of the cell vectors:
Ce 0.000 0.000 0.000
Pr 0.497 0.497 0.497
Ge 0.252 0.252 0.252
S 0.746 0.746 0.746

Properties
V = 26.0 Å³/atom
uncorrected energy = -25.073 eV/cell
total magnetization = 0.51 μB per formula unit
DOS(E_F) = 1.206 states/eV/atom
formation energy from raw total energies = -1403.8 meV per atom

=====

Entry from Alexandria: crystalline CePrGeTe at its relaxed geometry (PBE).

a = 7.724 Å, b = 7.724 Å, c = 7.724 Å
α = 32.98°, β = 32.98°, γ = 32.98°
Sites, in units of the cell vectors:
Ce 0.000 0.000 0.000
Pr 0.516 0.516 0.516
Ge 0.261 0.261 0.261
Te 0.756 0.756 0.756

Properties
V = 30.4 Å³/atom
uncorrected energy = -23.083 eV/cell
total magnetization = 0.68 μB per formula unit
DOS(E_F) = 1.584 states/eV/atom
formation energy from raw total energies = -1152.6 meV per atom

=====

Entry from Alexandria: crystalline CePrTlGe at its relaxed geometry (PBE).

a = 5.378 Å, b = 5.378 Å, c = 5.378 Å
α = 60.00°, β = 60.00°, γ = 60.00°
Sites, in units of the cell vectors:
Ce 0.000 0.000 0.000
Pr 0.500 0.500 0.500
Tl 0.250 0.250 0.250
Ge 0.750 0.750 0.750

Properties
V = 27.5 Å³/atom
uncorrected energy = -19.283 eV/cell
total magnetization = 1.31 μB per formula unit
DOS(E_F) = 2.042 states/eV/atom
formation enthalpy at 0 K = -0.397 eV per atom

=====

Entry from Alexandria: crystalline CePrZn2Ge2 at its relaxed geometry (PBE).

a = 4.251 Å, b = 4.251 Å, c = 8.451 Å
α = 90.00°, β = 90.00°, γ = 120.00°
Sites, in units of the cell vectors:
Ce 0.000 0.000 0.000
Pr 0.000 0.000 0.500
Zn 0.333 0.667 0.240
Zn 0.667 0.333 0.760
Ge 0.333 0.667 0.753
Ge 0.667 0.333 0.247

Properties
V = 22.0 Å³/atom
uncorrected energy = -26.262 eV/cell
total magnetization = 0.82 μB per formula unit
DOS(E_F) = 1.261 states/eV/atom
formation enthalpy at 0 K = -0.628 eV per atom

=====

Entry from Alexandria: crystalline CePrZnGe at its relaxed geometry (PBE).

a = 5.188 Å, b = 5.188 Å, c = 5.188 Å
α = 60.00°, β = 60.00°, γ = 60.00°
Sites, in units of the cell vectors:
Ce 0.000 0.000 0.000
Pr 0.500 0.500 0.500
Zn 0.750 0.750 0.750
Ge 0.250 0.250 0.250

Properties
V = 24.7 Å³/atom
uncorrected energy = -18.411 eV/cell
total magnetization = 0.89 μB per formula unit
DOS(E_F) = 2.044 states/eV/atom
formation enthalpy at 0 K = -0.451 eV per atom

=====

Entry from Alexandria: crystalline CePr2Zn2Ge2 at its relaxed geometry (PBE).

a = 11.866 Å, b = 11.866 Å, c = 11.866 Å
α = 20.38°, β = 20.38°, γ = 20.38°
Sites, in units of the cell vectors:
Ce 0.000 0.000 0.000
Pr 0.122 0.122 0.122
Pr 0.878 0.878 0.878
Zn 0.395 0.395 0.395
Zn 0.605 0.605 0.605
Ge 0.275 0.275 0.275
Ge 0.725 0.725 0.725

Properties
V = 25.3 Å³/atom
uncorrected energy = -30.466 eV/cell
total magnetization = 1.49 μB per formula unit
DOS(E_F) = 1.275 states/eV/atom
formation enthalpy at 0 K = -0.456 eV per atom

=====

Entry from Alexandria: crystalline CeGe3Pt5 at its relaxed geometry (PBE).

a = 6.781 Å, b = 6.781 Å, c = 13.462 Å
α = 90.00°, β = 90.00°, γ = 147.10°
Sites, in units of the cell vectors:
Ce 0.155 0.845 0.750
Ce 0.845 0.155 0.250
Ge 0.105 0.895 0.250
Ge 0.372 0.628 0.029
Ge 0.372 0.628 0.471
Ge 0.628 0.372 0.529
Ge 0.628 0.372 0.971
Ge 0.895 0.105 0.750
Pt 0.000 0.000 0.000
Pt 0.000 0.000 0.500
Pt 0.199 0.801 0.090
Pt 0.199 0.801 0.410
Pt 0.479 0.521 0.651
Pt 0.479 0.521 0.849
Pt 0.521 0.479 0.151
Pt 0.521 0.479 0.349
Pt 0.801 0.199 0.590
Pt 0.801 0.199 0.910

Properties
V = 18.7 Å³/atom
uncorrected energy = -111.199 eV/cell
total magnetization = 0.82 μB per formula unit
DOS(E_F) = 0.955 states/eV/atom
formation enthalpy at 0 K = -0.623 eV per atom

=====

Entry from Alexandria: crystalline Ce3Ge3Pt2 at its relaxed geometry (PBE).

a = 5.745 Å, b = 5.745 Å, c = 14.824 Å
α = 90.00°, β = 90.00°, γ = 134.90°
Sites, in units of the cell vectors:
Ce 0.099 0.901 0.608
Ce 0.099 0.901 0.892
Ce 0.372 0.628 0.750
Ce 0.628 0.372 0.250
Ce 0.901 0.099 0.108
Ce 0.901 0.099 0.392
Ge 0.339 0.661 0.250
Ge 0.386 0.614 0.536
Ge 0.386 0.614 0.964
Ge 0.614 0.386 0.036
Ge 0.614 0.386 0.464
Ge 0.661 0.339 0.750
Pt 0.189 0.811 0.107
Pt 0.189 0.811 0.393
Pt 0.811 0.189 0.607
Pt 0.811 0.189 0.893

Properties
V = 21.7 Å³/atom
uncorrected energy = -103.109 eV/cell
total magnetization = 1.71 μB per formula unit
DOS(E_F) = 1.437 states/eV/atom
formation enthalpy at 0 K = -0.977 eV per atom

=====

Entry from Alexandria: crystalline Ce2Ge4Pt3 at its relaxed geometry (PBE).

a = 8.108 Å, b = 8.108 Å, c = 7.717 Å
α = 90.00°, β = 90.00°, γ = 138.07°
Sites, in units of the cell vectors:
Ce 0.110 0.890 0.912
Ce 0.390 0.610 0.412
Ce 0.610 0.390 0.588
Ce 0.890 0.110 0.088
Ge 0.180 0.820 0.527
Ge 0.194 0.306 0.750
Ge 0.306 0.194 0.250
Ge 0.320 0.680 0.027
Ge 0.680 0.320 0.973
Ge 0.694 0.806 0.750
Ge 0.806 0.694 0.250
Ge 0.820 0.180 0.473
Pt 0.000 0.000 0.500
Pt 0.026 0.474 0.750
Pt 0.474 0.026 0.250
Pt 0.500 0.500 0.000
Pt 0.526 0.974 0.750
Pt 0.974 0.526 0.250

Properties
V = 18.8 Å³/atom
uncorrected energy = -111.657 eV/cell
total magnetization = 0.96 μB per formula unit
DOS(E_F) = 1.161 states/eV/atom
formation enthalpy at 0 K = -0.819 eV per atom

=====

Entry from Alexandria: crystalline Ce2Ge3Pt9 at its relaxed geometry (PBE).

a = 7.890 Å, b = 7.890 Å, c = 10.217 Å
α = 113.45°, β = 113.45°, γ = 60.24°
Sites, in units of the cell vectors:
Ce 0.085 0.258 0.250
Ce 0.258 0.085 0.750
Ce 0.742 0.915 0.250
Ce 0.915 0.742 0.750
Ge 0.000 0.500 0.000
Ge 0.137 0.685 0.504
Ge 0.315 0.863 0.996
Ge 0.500 0.000 0.500
Ge 0.685 0.137 0.004
Ge 0.863 0.315 0.496
Pt 0.020 0.859 0.081
Pt 0.141 0.980 0.419
Pt 0.197 0.359 0.578
Pt 0.212 0.583 0.264
Pt 0.297 0.485 0.930
Pt 0.359 0.197 0.078
Pt 0.368 0.632 0.750
Pt 0.417 0.788 0.236
Pt 0.485 0.297 0.430
Pt 0.515 0.703 0.570
Pt 0.583 0.212 0.764
Pt 0.632 0.368 0.250
Pt 0.641 0.803 0.922
Pt 0.703 0.515 0.070
Pt 0.788 0.417 0.736
Pt 0.803 0.641 0.422
Pt 0.859 0.020 0.581
Pt 0.980 0.141 0.919

Properties
V = 17.5 Å³/atom
uncorrected energy = -181.481 eV/cell
total magnetization = 0.61 μB per formula unit
DOS(E_F) = 0.732 states/eV/atom
formation enthalpy at 0 K = -0.761 eV per atom